a | First-principles (GGA-PBE) data for a geometry-optimized TcMoAu structure, as listed in Alexandria via LeMat-Bulk.

Cell: 4.918 4.918 4.918 Å, 148.40 129.46 60.84°
Fractional positions:
1 Au 0.001 0.001 0.000
2 Mo 0.332 0.332 0.000
3 Tc 0.667 0.667 0.000

Size of the total moment: 0.0000 μB per atom

b | First-principles (GGA-PBE) data for a geometry-optimized TcMoAu structure, as listed in Alexandria via LeMat-Bulk.

Cell: 7.134 6.969 2.757 Å, 82.12 75.38 22.51°
Fractional positions:
1 Au 0.000 0.000 0.000
2 Mo 0.324 0.324 0.676
3 Tc 0.676 0.676 0.324

Size of the total moment: 0.0000 μB per atom

The most stable arrangement is a, and the next structure is 55 meV/atom less stable.

a | First-principles (GGA-PBE) data for a geometry-optimized Tc2MoAu structure, as listed in Alexandria via LeMat-Bulk.

Cell: 4.847 4.847 4.851 Å, 79.28 79.28 34.16°
Fractional positions:
1 Au 0.250 0.250 0.250
2 Mo 0.750 0.750 0.750
3 Tc 0.006 0.006 0.978
4 Tc 0.494 0.494 0.522

Size of the total moment: 0.0000 μB per atom

b | First-principles (GGA-PBE) data for a geometry-optimized Tc2MoAu structure, as listed in Alexandria via LeMat-Bulk.

Cell: 3.268 3.268 5.945 Å, 90.00 90.00 90.00°
Fractional positions:
1 Au 0.500 0.500 0.250
2 Mo 0.500 0.500 0.750
3 Tc 0.000 0.000 0.976
4 Tc 0.000 0.000 0.524

Size of the total moment: 0.0000 μB per atom

c | First-principles (GGA-PBE) data for a geometry-optimized Tc2MoAu structure, as listed in Alexandria via LeMat-Bulk.

Cell: 4.472 4.472 4.472 Å, 60.00 60.00 60.00°
Fractional positions:
1 Au 0.500 0.500 0.500
2 Mo 0.250 0.250 0.250
3 Tc 0.000 0.000 0.000
4 Tc 0.750 0.750 0.750

Size of the total moment: 0.0000 μB per atom

d | First-principles (GGA-PBE) data for a geometry-optimized Tc2MoAu structure, as listed in Alexandria via LeMat-Bulk.

Cell: 4.888 4.888 4.788 Å, 79.17 79.17 34.02°
Fractional positions:
1 Au 0.501 0.501 0.502
2 Mo 0.745 0.745 0.769
3 Tc 0.996 0.996 0.011
4 Tc 0.257 0.257 0.219

Size of the total moment: 0.0000 μB per atom

The most stable arrangement is d, and the next structure is 13 meV/atom less stable.

a | First-principles (GGA-PBE) data for a geometry-optimized Tc2MoAu structure, as listed in Alexandria via LeMat-Bulk.

Cell: 4.865 4.865 4.865 Å, 132.23 132.12 69.95°
Fractional positions:
1 Au 0.498 0.498 0.000
2 Mo 0.245 0.745 0.500
3 Tc 0.013 0.013 0.000
4 Tc 0.745 0.245 0.500

Size of the total moment: 0.0000 μB per atom

b | First-principles (GGA-PBE) data for a geometry-optimized Tc2MoAu structure, as listed in Alexandria via LeMat-Bulk.

Cell: 4.464 4.464 4.464 Å, 60.00 60.00 60.00°
Fractional positions:
1 Mo 0.000 0.000 0.000
2 Au 0.500 0.500 0.500
3 Tc 0.250 0.250 0.250
4 Tc 0.750 0.750 0.750

Size of the total moment: 0.0000 μB per atom

c | First-principles (GGA-PBE) data for a geometry-optimized Tc2MoAu structure, as listed in Alexandria via LeMat-Bulk.

Cell: 2.764 2.764 8.214 Å, 90.00 90.00 90.00°
Fractional positions:
1 Au 0.000 0.000 0.498
2 Mo 0.500 0.500 0.765
3 Tc 0.000 0.000 0.010
4 Tc 0.500 0.500 0.227

Size of the total moment: 0.0000 μB per atom

The most stable arrangement is c, and the next structure is 32 meV/atom less stable.

a | First-principles (GGA-PBE) data for a geometry-optimized Tc2MoAu structure, as listed in Alexandria via LeMat-Bulk.

Cell: 9.477 9.477 9.477 Å, 16.92 16.92 16.92°
Fractional positions:
1 Au 0.501 0.501 0.501
2 Mo 0.747 0.747 0.747
3 Tc 0.997 0.997 0.997
4 Tc 0.255 0.255 0.255

Size of the total moment: 0.0000 μB per atom

b | First-principles (GGA-PBE) data for a geometry-optimized Tc2MoAu structure, as listed in Alexandria via LeMat-Bulk.

Cell: 9.388 9.388 9.388 Å, 17.19 17.19 17.19°
Fractional positions:
1 Au 0.250 0.250 0.250
2 Mo 0.750 0.750 0.750
3 Tc 0.004 0.004 0.004
4 Tc 0.496 0.496 0.496

Size of the total moment: 0.0000 μB per atom

The most stable arrangement is a, and the next structure is 54 meV/atom less stable.